Density functional theory data (PBE) for an optimized crystal structure of Zr2ZnPb.

Results
N(E_F)	1.84	states/eV/f.u.
E	-22.72	eV/f.u.
space group	Cmmm (65)

a = 5.278 Å, b = 5.278 Å, c = 3.207 Å
α = 89.99°, β = 89.99°, γ = 107.22°
Sites, in units of the cell vectors:
Zn (0.000, 0.500, 0.500)
Zr (0.000, 0.000, 0.000)
Zr (0.500, 0.500, 0.000)
Pb (0.500, 0.000, 0.500)


Density functional theory data (PBE) for an optimized crystal structure of Zr2ZnPb.

Results
N(E_F)	4.82	states/eV/f.u.
E	-20.76	eV/f.u.
space group	F-43m (216)

a = 5.030 Å, b = 5.030 Å, c = 5.030 Å
α = 60.00°, β = 60.00°, γ = 60.00°
Site moments in Bohr magnetons follow the coordinates.
Sites, in units of the cell vectors:
Zr (0.000, 0.000, 0.000)  0.66
Zr (0.250, 0.250, 0.250)  0.56
Pb (0.500, 0.500, 0.500)  -0.03
Zn (0.750, 0.750, 0.750)  -0.02


Density functional theory data (PBE) for an optimized crystal structure of ZrZn2Pb.

Results
N(E_F)	2.99	states/eV/f.u.
E	-14.79	eV/f.u.
space group	Pm (6)

a = 4.397 Å, b = 3.205 Å, c = 5.932 Å
α = 84.76°, β = 90.00°, γ = 90.00°
Sites, in units of the cell vectors:
Zr (0.000, 0.486, 0.463)
Zn (0.500, 0.041, 0.255)
Zn (0.000, 0.087, 0.033)
Pb (0.500, 0.886, 0.748)


Density functional theory data (PBE) for an optimized crystal structure of ZrZnPb.

Results
N(E_F)	1.63	states/eV/f.u.
E	-13.64	eV/f.u.
space group	Fmm2 (42)

a = 6.267 Å, b = 6.113 Å, c = 3.425 Å
α = 76.44°, β = 71.47°, γ = 32.09°
Sites, in units of the cell vectors:
Pb (0.991, 0.991, 0.009)
Zr (0.683, 0.683, 0.317)
Zn (0.326, 0.326, 0.674)


Density functional theory data (PBE) for an optimized crystal structure of Zr2ZnPb.

Results
N(E_F)	3.72	states/eV/f.u.
E	-22.73	eV/f.u.
space group	P4/mmm (123)

a = 3.183 Å, b = 3.183 Å, c = 8.451 Å
α = 90.00°, β = 90.00°, γ = 90.03°
Sites, in units of the cell vectors:
Zn (0.500, 0.500, 0.750)
Pb (0.500, 0.500, 0.250)
Zr (0.000, 0.000, 0.532)
Zr (0.000, 0.000, 0.968)


Density functional theory data (PBE) for an optimized crystal structure of Zr2ZnPb.

Results
N(E_F)	2.53	states/eV/f.u.
E	-22.68	eV/f.u.
space group	Imm2 (44)

a = 5.727 Å, b = 5.727 Å, c = 5.727 Å
α = 136.94°, β = 136.85°, γ = 62.60°
Sites, in units of the cell vectors:
Zr (0.000, 0.000, 0.000)
Zr (0.250, 0.750, 0.500)
Zn (0.750, 0.250, 0.500)
Pb (0.500, 0.500, 0.000)


Density functional theory data (PBE) for an optimized crystal structure of Zr2ZnPb2.

Results
N(E_F)	4.16	states/eV/f.u.
E	-23.92	eV/f.u.
space group	I4/mmm (139)

a = 4.255 Å, b = 4.255 Å, c = 7.770 Å
α = 74.11°, β = 74.11°, γ = 90.00°
Sites, in units of the cell vectors:
Pb (0.750, 0.250, 0.500)
Pb (0.250, 0.750, 0.500)
Zn (0.000, 0.000, 0.000)
Zr (0.408, 0.408, 0.184)
Zr (0.592, 0.592, 0.816)


Density functional theory data (PBE) for an optimized crystal structure of Zr6Zn5Pb.

Results
N(E_F)	10.52	states/eV/f.u.
E	-64.12	eV/f.u.
space group	Immm (71)

a = 4.375 Å, b = 8.098 Å, c = 8.051 Å
α = 120.19°, β = 105.77°, γ = 90.00°
Sites, in units of the cell vectors:
Zr (0.500, 0.269, 0.000)
Zr (0.832, 0.574, 0.663)
Zr (0.832, 0.089, 0.663)
Zr (0.500, 0.731, 0.000)
Zr (0.168, 0.426, 0.337)
Zr (0.168, 0.911, 0.337)
Zn (0.327, 0.327, 0.654)
Zn (0.671, 0.171, 0.342)
Zn (0.000, 0.500, 0.000)
Zn (0.673, 0.673, 0.346)
Zn (0.329, 0.829, 0.658)
Pb (0.000, 0.000, 0.000)


Density functional theory data (PBE) for an optimized crystal structure of Zr2Zn2Pb.

Results
N(E_F)	6.32	states/eV/f.u.
E	-23.17	eV/f.u.
space group	P4/mbm (127)

a = 7.916 Å, b = 7.916 Å, c = 3.443 Å
α = 90.00°, β = 90.00°, γ = 90.00°
Sites, in units of the cell vectors:
Zn (0.660, 0.840, 0.500)
Zn (0.160, 0.660, 0.500)
Zn (0.340, 0.160, 0.500)
Zn (0.840, 0.340, 0.500)
Zr (0.360, 0.860, 0.000)
Zr (0.860, 0.640, 0.000)
Zr (0.140, 0.360, 0.000)
Zr (0.640, 0.140, 0.000)
Pb (0.500, 0.500, 0.000)
Pb (0.000, 0.000, 0.000)


Density functional theory data (PBE) for an optimized crystal structure of Zr2ZnPb.

Results
N(E_F)	3.32	states/eV/f.u.
E	-22.12	eV/f.u.
space group	P4mm (99)

a = 3.187 Å, b = 3.187 Å, c = 8.951 Å
α = 90.00°, β = 90.00°, γ = 90.01°
Sites, in units of the cell vectors:
Zr (0.000, 0.000, 0.984)
Zr (0.500, 0.500, 0.236)
Pb (0.000, 0.000, 0.513)
Zn (0.500, 0.500, 0.766)


Density functional theory data (PBE) for an optimized crystal structure of Zr2Zn2Pb.

Results
N(E_F)	4.39	states/eV/f.u.
E	-22.73	eV/f.u.
space group	I4/mmm (139)

a = 3.848 Å, b = 3.848 Å, c = 7.846 Å
α = 75.80°, β = 75.80°, γ = 90.00°
Sites, in units of the cell vectors:
Zr (0.600, 0.600, 0.800)
Zr (0.400, 0.400, 0.200)
Zn (0.750, 0.250, 0.500)
Zn (0.250, 0.750, 0.500)
Pb (0.000, 0.000, 0.000)


Density functional theory data (PBE) for an optimized crystal structure of ZrZn2Pb.

Results
N(E_F)	3.38	states/eV/f.u.
E	-14.81	eV/f.u.
space group	I4/mmm (139)

a = 5.584 Å, b = 5.584 Å, c = 5.584 Å
α = 136.42°, β = 136.42°, γ = 63.34°
Sites, in units of the cell vectors:
Zn (0.500, 0.500, 0.000)
Zn (0.000, 0.000, 0.000)
Pb (0.750, 0.250, 0.500)
Zr (0.250, 0.750, 0.500)


Quick rundown of total magnetic moment, same order as above: 0.00, 1.70, 0.00, 0.00, 0.00, 0.00, 0.00, 0.00, 0.00, 0.00, 0.00, 0.00 μB per formula unit